# 1
{"formula": "ScTl2As", "functional": "PBE", "state": "optimized geometry", "lattice": [[-1.194, 8.577, 1.139], [-2.178, 7.199, 4.441], [1.403, 7.799, 3.673]], "species": ["As", "Sc", "Tl", "Tl"], "fractional_positions": [[0.250, 0.250, 0.250], [0.750, 0.750, 0.750], [0.994, 0.994, 0.994], [0.506, 0.506, 0.506]], "spacegroup": "R-3m", "m_tot_mub_per_fu": 0.346, "final_energy_ev_per_cell": -15.3, "crystal_system": "trigonal", "formation_energy_ev_per_atom": 0.10, "polymorph_energy_ev_per_atom": 0.534}

=====

# 2
{"formula": "ScTl2As", "functional": "PBE", "state": "optimized geometry", "lattice": [[5.999, -0.010, -0.016], [2.619, 5.397, 0.016], [-3.867, -3.401, 3.077]], "species": ["As", "Sc", "Tl", "Tl"], "fractional_positions": [[0.465, 0.465, 0.000], [0.284, 0.784, 0.500], [0.015, 0.015, 0.000], [0.736, 0.236, 0.500]], "spacegroup": "Imm2", "m_tot_mub_per_fu": 0.000, "final_energy_ev_per_cell": -16.6, "crystal_system": "orthorhombic", "formation_energy_ev_per_atom": -0.22, "polymorph_energy_ev_per_atom": 0.212}

=====

# 3
{"formula": "ScTl2AsW", "functional": "PBE", "state": "optimized geometry", "lattice": [[5.343, 0.000, 0.000], [0.000, 5.042, 0.000], [0.000, 0.000, 5.343]], "species": ["Sc", "Tl", "Tl", "As", "W"], "fractional_positions": [[0.000, 0.500, 0.000], [0.000, 0.000, 0.500], [0.500, 0.000, 0.000], [0.000, 0.000, 0.000], [0.500, 0.500, 0.500]], "spacegroup": "P4/mmm", "m_tot_mub_per_fu": 3.953, "final_energy_ev_per_cell": -22.5, "crystal_system": "tetragonal", "formation_energy_ev_per_atom": 1.24}